A plane-wave DFT calculation with PBE was carried out for an optimized crystal structure of AcPaTlO6.

Cell lengths 4.9443, 5.9049, 5.9049 Å; angles 120.00, 90.00, 90.00 degrees
Closest atoms and distances in Å follow each position.
Fractional positions:
O: 0.2461 0.6501 0.9614  1 Pa 2.18, 1 Tl 2.33
O: 0.2461 0.0386 0.6887  1 Pa 2.18, 1 Tl 2.33
O: 0.7539 0.3113 0.9614  1 Pa 2.18, 1 Tl 2.33
O: 0.2461 0.3113 0.3499  1 Pa 2.18, 1 Tl 2.33
O: 0.7539 0.6501 0.6887  1 Pa 2.18, 1 Tl 2.33
O: 0.7539 0.0386 0.3499  1 Pa 2.18, 1 Tl 2.33
Ac: 0.5000 0.6667 0.3333  6 O 2.49
Pa: 0.0000 0.3333 0.6667  6 O 2.18
Tl: 0.5000 0.0000 0.0000  6 O 2.33

## Properties
- Space group: No. 149
- Fermi-level density of states: 9.3 states/eV per cell
- Size of the total moment: 0.0 μB per formula unit
- E_form (uncorrected): -2.330 eV/atom